# 1
Compound: Sm8ZnAg2
Source: Alexandria via LeMat-Bulk
Functional: GGA-PBE
Structure: relaxed

## Properties
Energy relative to the elements   -0.12 eV/atom
Density of states at the Fermi level   11.139 states/eV/f.u.
Electronic total energy   -4.186 eV per atom

```
data_Sm8ZnAg2
_chemical_formula_sum 'Sm16 Zn2 Ag4'
_space_group_name_H-M_alt 'C 1 2/m 1'
_space_group_IT_number 12
_cell_length_a 18.181
_cell_length_b 5.291
_cell_length_c 7.020
_cell_angle_alpha 90.00
_cell_angle_beta 107.10
_cell_angle_gamma 90.00
loop_
_space_group_symop_operation_xyz
'x,y,z'
'-x,-y,-z'
'-x,y,-z'
'x,-y,z'
'x+1/2,y+1/2,z'
'-x+1/2,-y+1/2,-z'
'-x+1/2,y+1/2,-z'
'x+1/2,-y+1/2,z'
loop_
_atom_site_label
_atom_site_fract_x
_atom_site_fract_y
_atom_site_fract_z
Sm1 0.026 0.000 0.278
Sm2 0.092 0.500 0.958
Sm3 0.166 0.500 0.480
Sm4 0.197 0.000 0.816
Zn1 0.000 0.500 0.500
Ag1 0.181 0.000 0.224
```

=====

# 2
Compound: CaPW2
Source: Alexandria via LeMat-Bulk
Functional: GGA-PBE
Structure: relaxed

## Properties
Energy relative to the elements   0.11 eV/atom
Density of states at the Fermi level   3.480 states/eV/f.u.
Electronic total energy   -8.224 eV per atom

```
data_CaPW2
_chemical_formula_sum 'Ca1 P1 W2'
_space_group_name_H-M_alt 'P 4 m m'
_space_group_IT_number 99
_cell_length_a 3.251
_cell_length_b 3.251
_cell_length_c 7.039
_cell_angle_alpha 90.00
_cell_angle_beta 90.00
_cell_angle_gamma 90.00
loop_
_space_group_symop_operation_xyz
'x,y,z'
'-y,x,z'
'-x,-y,z'
'y,-x,z'
'-x,y,z'
'y,x,z'
'x,-y,z'
'-y,-x,z'
loop_
_atom_site_label
_atom_site_fract_x
_atom_site_fract_y
_atom_site_fract_z
Ca1 0.000 0.000 0.000
P1 0.500 0.500 0.292
W1 0.000 0.000 0.469
W2 0.500 0.500 0.668
```

=====

# 3
Compound: Hf5ScRh6
Source: Alexandria via LeMat-Bulk
Functional: GGA-PBE
Structure: relaxed

## Properties
Energy relative to the elements   -0.90 eV/atom
Density of states at the Fermi level   10.137 states/eV/f.u.
Electronic total energy   -9.252 eV per atom

```
data_Hf5ScRh6
_chemical_formula_sum 'Hf10 Sc2 Rh12'
_space_group_name_H-M_alt 'C m m m'
_space_group_IT_number 65
_space_group_name_Hall '-C 2 2'
_cell_length_a 4.615
_cell_length_b 13.832
_cell_length_c 6.537
_cell_angle_alpha 90.00
_cell_angle_beta 90.00
_cell_angle_gamma 90.00
loop_
_atom_site_label
_atom_site_fract_x
_atom_site_fract_y
_atom_site_fract_z
Hf1 0.000 0.000 0.000
Hf2 0.000 0.334 0.000
Hf3 0.000 0.335 0.500
Sc1 0.000 0.000 0.500
Rh1 0.000 0.169 0.249
Rh2 0.000 0.500 0.247
```

=====

# 4
Compound: Rb2CrHg
Source: Alexandria via LeMat-Bulk
Functional: GGA-PBE
Structure: relaxed

## Properties
Energy relative to the elements   0.63 eV/atom
Density of states at the Fermi level   2.788 states/eV/f.u.
Electronic total energy   -2.333 eV per atom

```
data_Rb2CrHg
_chemical_formula_sum 'Rb8 Cr4 Hg4'
_space_group_name_H-M_alt 'I -4 2 d'
_space_group_IT_number 122
_space_group_name_Hall 'I -4 2bw'
_cell_length_a 10.015
_cell_length_b 10.015
_cell_length_c 6.994
_cell_angle_alpha 90.00
_cell_angle_beta 90.00
_cell_angle_gamma 90.00
loop_
_atom_site_label
_atom_site_fract_x
_atom_site_fract_y
_atom_site_fract_z
Rb1 0.237 0.250 0.125
Cr1 0.000 0.000 0.500
Hg1 0.000 0.000 0.000
```

=====

# 5
Compound: HoNbAs
Source: Alexandria via LeMat-Bulk
Functional: GGA-PBE
Structure: relaxed

## Properties
Energy relative to the elements   -0.28 eV/atom
Density of states at the Fermi level   2.109 states/eV/f.u.
Electronic total energy   -6.709 eV per atom

```
data_HoNbAs
_chemical_formula_sum 'Ho4 Nb4 As4'
_space_group_name_H-M_alt 'C m c m'
_space_group_IT_number 63
_space_group_name_Hall '-C 2c 2'
_cell_length_a 4.157
_cell_length_b 20.539
_cell_length_c 3.815
_cell_angle_alpha 90.00
_cell_angle_beta 90.00
_cell_angle_gamma 90.00
loop_
_atom_site_label
_atom_site_fract_x
_atom_site_fract_y
_atom_site_fract_z
Ho1 0.000 0.074 0.250
Nb1 0.000 0.246 0.250
As1 0.000 0.336 0.750
```

=====

# 6
Compound: KScIr2
Source: Alexandria via LeMat-Bulk
Functional: GGA-PBE
Structure: relaxed

## Properties
Energy relative to the elements   0.43 eV/atom
Density of states at the Fermi level   3.157 states/eV/f.u.
Electronic total energy   -5.854 eV per atom

```
data_KScIr2
_chemical_formula_sum 'K4 Sc4 Ir8'
_space_group_name_H-M_alt 'I -4 2 d'
_space_group_IT_number 122
_space_group_name_Hall 'I -4 2bw'
_cell_length_a 5.027
_cell_length_b 5.027
_cell_length_c 17.853
_cell_angle_alpha 90.00
_cell_angle_beta 90.00
_cell_angle_gamma 90.00
loop_
_atom_site_label
_atom_site_fract_x
_atom_site_fract_y
_atom_site_fract_z
K1 0.000 0.000 0.000
Sc1 0.000 0.000 0.500
Ir1 0.015 0.750 0.625
```

=====

# 7
Compound: CdOs2Br
Source: Alexandria via LeMat-Bulk
Functional: GGA-PBE
Structure: relaxed

## Properties
Formation energy without anion corrections   1.1495 eV/atom
Density of states at the Fermi level   4.926 states/eV/f.u.
Electronic total energy   -5.112 eV per atom

```
data_CdOs2Br
_chemical_formula_sum 'Cd2 Os4 Br2'
_space_group_name_H-M_alt 'I m m m'
_space_group_IT_number 71
_space_group_name_Hall '-I 2 2'
_cell_length_a 2.873
_cell_length_b 4.956
_cell_length_c 9.696
_cell_angle_alpha 90.00
_cell_angle_beta 90.00
_cell_angle_gamma 90.00
loop_
_atom_site_label
_atom_site_fract_x
_atom_site_fract_y
_atom_site_fract_z
Cd1 0.000 0.000 0.000
Os1 0.000 0.500 0.234
Br1 0.000 0.000 0.500
```

=====

# 8
Compound: Ca2CoPb
Source: Alexandria via LeMat-Bulk
Functional: GGA-PBE
Structure: relaxed

## Properties
Energy relative to the elements   0.08 eV/atom
Density of states at the Fermi level   2.929 states/eV/f.u.
Electronic total energy   -3.626 eV per atom

```
data_Ca2CoPb
_chemical_formula_sum 'Ca2 Co1 Pb1'
_space_group_name_H-M_alt 'P 4 m m'
_space_group_IT_number 99
_cell_length_a 3.530
_cell_length_b 3.530
_cell_length_c 8.561
_cell_angle_alpha 90.00
_cell_angle_beta 90.00
_cell_angle_gamma 90.00
loop_
_space_group_symop_operation_xyz
'x,y,z'
'-y,x,z'
'-x,-y,z'
'y,-x,z'
'-x,y,z'
'y,x,z'
'x,-y,z'
'-y,-x,z'
loop_
_atom_site_label
_atom_site_fract_x
_atom_site_fract_y
_atom_site_fract_z
Ca1 0.000 0.000 0.000
Ca2 0.500 0.500 0.370
Co1 0.000 0.000 0.594
Pb1 0.500 0.500 0.738
```

=====

# 9
Compound: LiIn2Pt
Source: Alexandria via LeMat-Bulk
Functional: GGA-PBE
Structure: relaxed

## Properties
Energy relative to the elements   -0.36 eV/atom
Density of states at the Fermi level   1.078 states/eV/f.u.
Electronic total energy   -3.714 eV per atom

```
data_LiIn2Pt
_chemical_formula_sum 'Li1 In2 Pt1'
_space_group_name_H-M_alt 'P 4 m m'
_space_group_IT_number 99
_cell_length_a 3.581
_cell_length_b 3.581
_cell_length_c 5.912
_cell_angle_alpha 90.00
_cell_angle_beta 90.00
_cell_angle_gamma 90.00
loop_
_space_group_symop_operation_xyz
'x,y,z'
'-y,x,z'
'-x,-y,z'
'y,-x,z'
'-x,y,z'
'y,x,z'
'x,-y,z'
'-y,-x,z'
loop_
_atom_site_label
_atom_site_fract_x
_atom_site_fract_y
_atom_site_fract_z
Li1 0.000 0.000 0.000
In1 0.000 0.000 0.446
In2 0.500 0.500 0.764
Pt1 0.500 0.500 0.234
```

=====

# 10
Compound: VNi2Mo
Source: Alexandria via LeMat-Bulk
Functional: GGA-PBE
Structure: relaxed

## Properties
Energy relative to the elements   -0.11 eV/atom
Density of states at the Fermi level   2.962 states/eV/f.u.
Electronic total energy   -7.989 eV per atom

```
data_VNi2Mo
_chemical_formula_sum 'V1 Ni2 Mo1'
_space_group_name_H-M_alt 'P 4/m m m'
_space_group_IT_number 123
_space_group_name_Hall '-P 4 2'
_cell_length_a 3.648
_cell_length_b 3.648
_cell_length_c 3.782
_cell_angle_alpha 90.00
_cell_angle_beta 90.00
_cell_angle_gamma 90.00
loop_
_atom_site_label
_atom_site_fract_x
_atom_site_fract_y
_atom_site_fract_z
V1 0.000 0.000 0.000
Ni1 0.000 0.500 0.500
Mo1 0.500 0.500 0.000
```

=====

# 11
Compound: Pm2NdSm4Mg
Source: Alexandria via LeMat-Bulk
Functional: GGA-PBE
Structure: relaxed

## Properties
Energy relative to the elements   0.09 eV/atom
Density of states at the Fermi level   15.694 states/eV/f.u.
Electronic total energy   -4.257 eV per atom

```
data_Pm2NdSm4Mg
_chemical_formula_sum 'Pm2 Nd1 Sm4 Mg1'
_space_group_name_H-M_alt 'P 4/m m m'
_space_group_IT_number 123
_space_group_name_Hall '-P 4 2'
_cell_length_a 5.765
_cell_length_b 5.765
_cell_length_c 7.914
_cell_angle_alpha 90.00
_cell_angle_beta 90.00
_cell_angle_gamma 90.00
loop_
_atom_site_label
_atom_site_fract_x
_atom_site_fract_y
_atom_site_fract_z
Pm1 0.000 0.000 0.000
Pm2 0.500 0.500 0.500
Nd1 0.000 0.000 0.500
Sm1 0.000 0.500 0.229
Mg1 0.500 0.500 0.000
```

=====

# 12
Compound: PmTh2BeC2
Source: Alexandria via LeMat-Bulk
Functional: GGA-PBE
Structure: relaxed

## Properties
Energy relative to the elements   -0.12 eV/atom
Density of states at the Fermi level   4.081 states/eV/f.u.
Electronic total energy   -7.084 eV per atom

```
data_PmTh2BeC2
_chemical_formula_sum 'Pm2 Th4 Be2 C4'
_space_group_name_H-M_alt 'P n n m'
_space_group_IT_number 58
_cell_length_a 5.590
_cell_length_b 11.390
_cell_length_c 3.743
_cell_angle_alpha 90.00
_cell_angle_beta 90.00
_cell_angle_gamma 90.00
loop_
_space_group_symop_operation_xyz
'x,y,z'
'-x,-y,-z'
'-x,-y,z'
'x,y,-z'
'x+1/2,-y+1/2,-z+1/2'
'-x+1/2,y+1/2,z+1/2'
'-x+1/2,y+1/2,-z+1/2'
'x+1/2,-y+1/2,z+1/2'
loop_
_atom_site_label
_atom_site_fract_x
_atom_site_fract_y
_atom_site_fract_z
Pm1 0.000 0.000 0.000
Th1 0.008 0.292 0.500
Be1 0.000 0.500 0.000
C1 0.218 0.608 0.000
```

=====

- The lowest density of states at the Fermi level belongs to which entry?
  LiIn2Pt

=====

- Look up the electronic total energy of the eleventh one.
  -4.257 eV per atom

=====

- Among the records above, which one has the highest density of states at the Fermi level?
  Pm2NdSm4Mg

=====

- Which value of electronic total energy does entry 10 give?
  -7.989 eV per atom